{
  "formula": "HfRuSe2Br",
  "functional": "PBE",
  "state": "optimized geometry",
  "density_g_cm3": 7.5,
  "e_form_raw_ev_per_atom": 0.429,
  "polymorph_energy_ev_per_atom": 0.154,
  "e_tot_ev_per_atom": -5.145,
  "sg": "No. 123",
  "lattice_angstrom": [[4.856, 0.000, 0.000], [0.000, 4.856, 0.000], [0.000, 0.000, 4.836]],
  "species": ["Se", "Ru", "Se", "Hf", "Br"],
  "frac_coords": [[0.000, 0.500, 0.000], [0.000, 0.000, 0.000], [0.500, 0.000, 0.000], [0.500, 0.500, 0.500], [0.000, 0.000, 0.500]]
}